No. 1
# LiPrO3

A relaxed structure of LiPrO3 (PBE, OQMD via LeMat-Bulk).

a b c (Å): 5.8096 7.5427 5.1870
angles (deg): 90.00 90.00 90.00
Space group Pnma (No. 62)
One atom of each set of equivalent atoms:
Li 0.0000 0.0000 0.0000 (multiplicity 4)
Pr 0.0909 0.2500 0.4694 (multiplicity 4)
O 0.0294 0.2500 0.9393 (multiplicity 4)
O 0.2091 0.5417 0.6776 (multiplicity 8)

Results
- E_tot: -125.0 eV for the cell shown

No. 2
# LiPrO3

A relaxed structure of LiPrO3 (PBE, OQMD via LeMat-Bulk).

a b c (Å): 4.2487 4.2487 4.7453
angles (deg): 90.00 90.00 90.00
Space group P4mm (No. 99)
One atom of each set of equivalent atoms:
Li 0.0000 0.0000 0.0000 (multiplicity 1)
Pr 0.5000 0.5000 0.7309 (multiplicity 1)
O 0.0000 0.5000 0.9029 (multiplicity 2)
O 0.5000 0.5000 0.2318 (multiplicity 1)

Results
- E_tot: -29.7 eV for the cell shown

No. 3
# LiPrO3

A relaxed structure of LiPrO3 (PBE, OQMD via LeMat-Bulk).

a b c (Å): 5.7927 7.3163 5.9741
angles (deg): 90.00 90.00 90.00
Space group Pnma (No. 62)
One atom of each set of equivalent atoms:
Li 0.0107 0.2500 0.0650 (multiplicity 4)
Pr 0.0000 0.0000 0.5000 (multiplicity 4)
O 0.1702 0.6478 0.1739 (multiplicity 8)
O 0.1881 0.7500 0.6786 (multiplicity 4)

Results
- E_tot: -127.3 eV for the cell shown

Question: Which value of E_tot does entry 3 give?
Answer: -127.3 eV for the cell shown

Question: Which formula does entry 3 have?
Answer: LiPrO3